# 1
First-principles (PBE) data for an optimized crystal structure of Tl6Hg2As, as listed in Alexandria.

Values from the calculation:
Symmetry: P-62m
Raw total energy, eV per cell: -19.61
ΔH_f (0 K), kJ per mole of atoms: -1.7

Cell: 8.6206 8.6206 4.2068 Å, 90.00 90.00 120.00°
Last column: nearest neighbours and their distance in Å.
Fractional positions:
Tl1 0.0000 0.2544 0.0000  2 As 3.04, 2 Hg 3.27
Tl2 0.0000 0.6105 0.5000  1 As 3.36, 4 Hg 3.39, 6 Tl 3.63-3.72
Tl3 0.2544 0.0000 0.0000  2 As 3.04, 2 Hg 3.27
Tl4 0.3896 0.3896 0.5000  1 As 3.36, 4 Hg 3.39, 6 Tl 3.63-3.72
Tl5 0.6105 0.0000 0.5000  1 As 3.36, 4 Hg 3.39, 6 Tl 3.63-3.72
Tl6 0.7456 0.7456 0.0000  2 As 3.04, 2 Hg 3.27
Hg1 0.3333 0.6667 0.0000  9 Tl 3.27-3.39
Hg2 0.6667 0.3333 0.0000  9 Tl 3.27-3.39
As1 0.0000 0.0000 0.5000  9 Tl 3.04-3.36

---

# 2
First-principles (PBE) data for an optimized crystal structure of TeO2F, as listed in Alexandria.

Values from the calculation:
Symmetry: R-3m
Energy relative to the lowest polymorph listed for this composition, meV/atom: 1048
Raw total energy, eV per cell: -38.61
Formation energy (no corrections), eV per atom: 0.5145

Cell: 3.2737 3.2737 18.8352 Å, 90.00 90.00 120.00°
Last column: nearest neighbours and their distance in Å.
Fractional positions:
Te1 0.0000 0.0000 0.0000  2 O 1.87
Te2 0.3333 0.6667 0.6667  2 O 1.87
Te3 0.6667 0.3333 0.3333  2 O 1.87
O1 0.0000 0.0000 0.0994  1 Te 1.87
O2 0.0000 0.0000 0.9006  1 Te 1.87
O3 0.3333 0.6667 0.5673  1 Te 1.87
O4 0.3333 0.6667 0.7661  1 Te 1.87
O5 0.6667 0.3333 0.2339  1 Te 1.87
O6 0.6667 0.3333 0.4327  1 Te 1.87
F1 0.0000 0.0000 0.5000  6 O 2.28
F2 0.3333 0.6667 0.1667  6 O 2.28
F3 0.6667 0.3333 0.8333  6 O 2.28

---

# 3
First-principles (PBE) data for an optimized crystal structure of SrTa2BrO, as listed in Alexandria.

Values from the calculation:
Symmetry: P4/mmm
Raw total energy, eV per cell: -33.98
Formation energy (no corrections), eV per atom: -0.3924

Cell: 4.1355 4.1355 7.1218 Å, 90.00 90.00 90.00°
Last column: nearest neighbours and their distance in Å.
Fractional positions:
Sr1 0.0000 0.0000 0.0000  4 Br 2.92
Ta1 0.0000 0.5000 0.5000  2 O 2.07
Ta2 0.5000 0.0000 0.5000  2 O 2.07
Br1 0.5000 0.5000 0.0000  4 Sr 2.92
O1 0.0000 0.0000 0.5000  4 Ta 2.07

---

# 4
First-principles (PBE) data for an optimized crystal structure of Sc2AlAgAu4, as listed in Alexandria.

Values from the calculation:
Symmetry: R-3m
Raw total energy, eV per cell: -37.40
ΔH_f (0 K), kJ per mole of atoms: -60.8

Cell: 8.1063 8.1063 8.1063 Å, 33.70 33.70 33.70°
Last column: nearest neighbours and their distance in Å.
Fractional positions:
Sc1 0.2464 0.2464 0.2464  8 Au 2.81-2.95
Sc2 0.7536 0.7536 0.7536  8 Au 2.81-2.95
Al1 0.0000 0.0000 0.0000  8 Au 2.71-2.84
Ag1 0.5000 0.5000 0.5000  8 Au 2.93-2.98, 6 Sc 3.27
Au1 0.1181 0.1181 0.1181  1 Al 2.71, 4 Sc 2.81-2.94, 3 Ag 2.93
Au2 0.3700 0.3700 0.3700  4 Sc 2.83-2.95, 3 Al 2.84, 1 Ag 2.98
Au3 0.6300 0.6300 0.6300  4 Sc 2.83-2.95, 3 Al 2.84, 1 Ag 2.98
Au4 0.8819 0.8819 0.8819  1 Al 2.71, 4 Sc 2.81-2.94, 3 Ag 2.93

---

# 5
First-principles (PBE) data for an optimized crystal structure of Tl6AsAu2, as listed in Alexandria.

Values from the calculation:
Symmetry: C2/m
Raw total energy, eV per cell: -25.29
ΔH_f (0 K), kJ per mole of atoms: 1.2

Cell: 7.0884 7.0884 9.9460 Å, 127.88 127.88 42.23°
Last column: nearest neighbours and their distance in Å.
Fractional positions:
Tl1 0.0227 0.0227 0.3308  1 As 3.10, 3 Au 3.13-3.17
Tl2 0.3064 0.3064 0.3278  3 Au 3.10-3.18, 1 As 3.11
Tl3 0.3604 0.3604 0.0003  2 Au 3.14-3.15, 2 As 3.15
Tl4 0.6396 0.6396 0.9997  2 Au 3.14-3.15, 2 As 3.15
Tl5 0.6936 0.6936 0.6722  3 Au 3.10-3.18, 1 As 3.11
Tl6 0.9773 0.9773 0.6692  1 As 3.10, 3 Au 3.13-3.17
As1 0.0000 0.0000 0.0000  8 Tl 3.10-3.15
Au1 0.3310 0.3310 0.6600  8 Tl 3.10-3.18
Au2 0.6690 0.6690 0.3400  8 Tl 3.10-3.18

---

# 6
First-principles (PBE) data for an optimized crystal structure of Gd2PaAl, as listed in Alexandria.

Values from the calculation:
Symmetry: P4/mmm
Energy relative to the lowest polymorph listed for this composition, meV/atom: 0
Raw total energy, eV per cell: -41.62
ΔH_f (0 K), kJ per mole of atoms: -5.3

Cell: 3.4017 3.4017 8.9920 Å, 90.00 90.00 90.00°
Last column: nearest neighbours and their distance in Å.
Fractional positions:
Gd1 0.0000 0.0000 0.2276  4 Al 3.16, 4 Gd 3.40, 4 Pa 3.43
Gd2 0.0000 0.0000 0.7724  4 Al 3.16, 4 Gd 3.40, 4 Pa 3.43
Pa1 0.5000 0.5000 0.5000  4 Pa 3.40, 8 Gd 3.43
Al1 0.5000 0.5000 0.0000  8 Gd 3.16, 4 Al 3.40

---

# 7
First-principles (PBE) data for an optimized crystal structure of Pm5Ir2O12, as listed in Alexandria.

Values from the calculation:
Symmetry: C2/m
Raw total energy, eV per cell: -149.44
Formation energy (no corrections), eV per atom: -2.5507

Cell: 7.0433 7.0433 7.4477 Å, 105.28 105.28 51.85°
Last column: nearest neighbours and their distance in Å.
Fractional positions:
Pm1 0.0000 0.0000 0.0000  6 O 2.39-2.46
Pm2 0.3023 0.3023 0.1408  7 O 2.38-2.48
Pm3 0.3052 0.3052 0.6648  7 O 2.37-2.46
Pm4 0.6948 0.6948 0.3352  7 O 2.37-2.46
Pm5 0.6977 0.6977 0.8592  7 O 2.38-2.48
Ir1 0.2470 0.7530 0.5000  6 O 1.98-2.04
Ir2 0.7530 0.2470 0.5000  6 O 1.98-2.04
O1 0.0004 0.0004 0.3308  2 Ir 1.98
O2 0.9996 0.9996 0.6692  2 Ir 1.98
O3 0.0959 0.5999 0.9253  4 Pm 2.38-2.42
O4 0.1016 0.5699 0.4165  1 Ir 1.99
O5 0.4001 0.9041 0.0747  4 Pm 2.38-2.42
O6 0.4301 0.8984 0.5835  1 Ir 1.99
O7 0.4992 0.4992 0.6759  2 Ir 2.04
O8 0.5008 0.5008 0.3241  2 Ir 2.04
O9 0.5699 0.1016 0.4165  1 Ir 1.99
O10 0.5999 0.0959 0.9253  4 Pm 2.38-2.42
O11 0.8984 0.4301 0.5835  1 Ir 1.99
O12 0.9041 0.4001 0.0747  4 Pm 2.38-2.42

---

# 8
First-principles (PBE) data for an optimized crystal structure of MgTcPt2, as listed in Alexandria.

Values from the calculation:
Symmetry: I-42d
Raw total energy, eV per cell: -92.86
ΔH_f (0 K), kJ per mole of atoms: 19.9

Cell: 3.9103 3.9103 17.8304 Å, 90.00 90.00 90.00°
Last column: nearest neighbours and their distance in Å.
Fractional positions:
Mg1 0.0000 0.0000 0.0000  4 Pt 2.63, 4 Tc 2.77
Mg2 0.0000 0.5000 0.2500  4 Pt 2.63, 4 Tc 2.77
Mg3 0.5000 0.0000 0.7500  4 Pt 2.63, 4 Tc 2.77
Mg4 0.5000 0.5000 0.5000  4 Pt 2.63, 4 Tc 2.77
Tc1 0.0000 0.0000 0.5000  4 Pt 2.62, 4 Mg 2.77
Tc2 0.0000 0.5000 0.7500  4 Pt 2.62, 4 Mg 2.77
Tc3 0.5000 0.0000 0.2500  4 Pt 2.62, 4 Mg 2.77
Tc4 0.5000 0.5000 0.0000  4 Pt 2.62, 4 Mg 2.77
Pt1 0.2459 0.2500 0.6250  2 Tc 2.62, 2 Mg 2.63, 4 Pt 2.74-2.79
Pt2 0.2500 0.7459 0.8750  2 Tc 2.62, 2 Mg 2.63, 4 Pt 2.74-2.79
Pt3 0.2500 0.7541 0.3750  2 Tc 2.62, 2 Mg 2.63, 4 Pt 2.74-2.79
Pt4 0.2541 0.2500 0.1250  2 Tc 2.62, 2 Mg 2.63, 4 Pt 2.74-2.79
Pt5 0.7459 0.7500 0.1250  2 Tc 2.62, 2 Mg 2.63, 4 Pt 2.74-2.79
Pt6 0.7500 0.2459 0.3750  2 Tc 2.62, 2 Mg 2.63, 4 Pt 2.74-2.79
Pt7 0.7500 0.2541 0.8750  2 Tc 2.62, 2 Mg 2.63, 4 Pt 2.74-2.79
Pt8 0.7541 0.7500 0.6250  2 Tc 2.62, 2 Mg 2.63, 4 Pt 2.74-2.79

---

# 9
First-principles (PBE) data for an optimized crystal structure of Mg2BiPd5, as listed in Alexandria.

Values from the calculation:
Symmetry: I4/mmm
Energy relative to the lowest polymorph listed for this composition, meV/atom: 0
Raw total energy, eV per cell: -73.79
ΔH_f (0 K), kJ per mole of atoms: -46.6

Cell: 4.1982 4.1982 15.3325 Å, 90.00 90.00 90.00°
Last column: nearest neighbours and their distance in Å.
Fractional positions:
Mg1 0.0000 0.0000 0.2474  8 Pd 2.71-2.76, 4 Mg 2.97
Mg2 0.0000 0.0000 0.7526  8 Pd 2.71-2.76, 4 Mg 2.97
Mg3 0.5000 0.5000 0.2526  8 Pd 2.71-2.76, 4 Mg 2.97
Mg4 0.5000 0.5000 0.7474  8 Pd 2.71-2.76, 4 Mg 2.97
Bi1 0.0000 0.0000 0.5000  12 Pd 2.95-2.97
Bi2 0.5000 0.5000 0.0000  12 Pd 2.95-2.97
Pd1 0.0000 0.0000 0.0000  8 Pd 2.95, 4 Bi 2.97
Pd2 0.0000 0.5000 0.1354  4 Mg 2.71-2.76, 2 Bi 2.95, 6 Pd 2.95-2.97
Pd3 0.0000 0.5000 0.3646  4 Mg 2.71-2.76, 2 Bi 2.95, 6 Pd 2.95-2.97
Pd4 0.0000 0.5000 0.6354  4 Mg 2.71-2.76, 2 Bi 2.95, 6 Pd 2.95-2.97
Pd5 0.0000 0.5000 0.8646  4 Mg 2.71-2.76, 2 Bi 2.95, 6 Pd 2.95-2.97
Pd6 0.5000 0.0000 0.1354  4 Mg 2.71-2.76, 2 Bi 2.95, 6 Pd 2.95-2.97
Pd7 0.5000 0.0000 0.3646  4 Mg 2.71-2.76, 2 Bi 2.95, 6 Pd 2.95-2.97
Pd8 0.5000 0.0000 0.6354  4 Mg 2.71-2.76, 2 Bi 2.95, 6 Pd 2.95-2.97
Pd9 0.5000 0.0000 0.8646  4 Mg 2.71-2.76, 2 Bi 2.95, 6 Pd 2.95-2.97
Pd10 0.5000 0.5000 0.5000  8 Pd 2.95, 4 Bi 2.97

---

# 10
First-principles (PBE) data for an optimized crystal structure of SrLa, as listed in Alexandria.

Values from the calculation:
Symmetry: Cmmm
Energy relative to the lowest polymorph listed for this composition, meV/atom: 126
Raw total energy, eV per cell: -12.47
ΔH_f (0 K), kJ per mole of atoms: 18.1

Cell: 5.3206 5.4774 6.0070 Å, 90.00 90.00 90.00°
Last column: nearest neighbours and their distance in Å.
Fractional positions:
Sr1 0.0000 0.0000 0.0000  4 Sr 3.82, 8 La 4.01-4.06
Sr2 0.5000 0.5000 0.0000  4 Sr 3.82, 8 La 4.01-4.06
La1 0.0000 0.5000 0.5000  4 La 3.82, 8 Sr 4.01-4.06
La2 0.5000 0.0000 0.5000  4 La 3.82, 8 Sr 4.01-4.06

---

# 11
First-principles (PBE) data for an optimized crystal structure of Sm2ErCd2, as listed in Alexandria.

Values from the calculation:
Symmetry: P2_1/m
Energy relative to the lowest polymorph listed for this composition, meV/atom: 0
Raw total energy, eV per cell: -34.14
ΔH_f (0 K), kJ per mole of atoms: -23.9

Cell: 3.7402 5.3543 14.1446 Å, 90.00 97.59 90.00°
Last column: nearest neighbours and their distance in Å.
Fractional positions:
Sm1 0.0445 0.2500 0.0881  8 Cd 3.26-3.39, 2 Sm 3.64
Sm2 0.2342 0.2500 0.4699  2 Cd 3.27, 4 Sm 3.37-3.38, 2 Er 3.59
Sm3 0.7658 0.7500 0.5301  2 Cd 3.27, 4 Sm 3.37-3.38, 2 Er 3.59
Sm4 0.9555 0.7500 0.9119  8 Cd 3.26-3.39, 2 Sm 3.64
Er1 0.1499 0.7500 0.2992  6 Cd 3.21-3.28, 2 Sm 3.59
Er2 0.8501 0.2500 0.7008  6 Cd 3.21-3.28, 2 Sm 3.59
Cd1 0.3611 0.7500 0.7217  4 Sm 3.26-3.27, 4 Er 3.28, 2 Cd 3.54
Cd2 0.4431 0.2500 0.8868  2 Er 3.21, 6 Sm 3.28-3.39, 2 Cd 3.54
Cd3 0.5569 0.7500 0.1132  2 Er 3.21, 6 Sm 3.28-3.39, 2 Cd 3.54
Cd4 0.6389 0.2500 0.2783  4 Sm 3.26-3.27, 4 Er 3.28, 2 Cd 3.54

---

Look up the raw total energy of the fourth one. -37.40 eV per cell